14
Lattice="-3.7323 3.9955 4.0382 3.7323 -3.9955 4.0382 3.7323 3.9955 -4.0382" Properties=species:S:1:pos:R:3 comment="PBE-GGA SnBPd5, relaxed" rho_g_cm3=9.1 e_form_ev_per_atom=-0.211 pbc="T T T"
Sn 0.0000 1.9978 0.6771
Sn 3.7323 1.9978 3.3612
B 3.7323 0.0000 0.0000
B 0.0000 0.0000 4.0382
Pd 1.6750 0.0000 0.0000
Pd 5.7896 0.0000 0.0000
Pd 3.7323 -0.6082 1.9676
Pd 3.7323 3.3873 -1.9676
Pd 3.7323 1.9978 0.6780
Pd 1.6750 3.9955 0.0000
Pd 2.0573 0.0000 4.0382
Pd 0.0000 1.9978 3.3603
Pd 0.0000 0.6082 6.0058
Pd 0.0000 4.6037 2.0706